(1)
The following is a GGA-PBE calculation of an optimized crystal structure of USe2S6, from Alexandria via LeMat-Bulk.

Properties
Size of the total moment: 0.10 μB per cell
Crystal system: triclinic
Electronic total energy: -0.3746 Ry per atom
ρ: 3.601 g/cm³
Uncorrected formation energy: -0.32 eV/atom

Unit cell a=4.332 b=7.124 c=9.104 alpha=79.19 beta=79.41 gamma=87.92
Space group P-1 (No. 2)
Inequivalent atoms, fractional coordinates:
U1 0.000 0.000 0.000 (multiplicity 1)
Se1 0.155 0.627 0.203 (multiplicity 2)
S1 0.130 0.399 0.564 (multiplicity 2)
S2 0.162 0.748 0.862 (multiplicity 2)
S3 0.426 0.903 0.192 (multiplicity 2)

***

(2)
The following is a GGA-PBE calculation of an optimized crystal structure of U2Se3S, from Alexandria via LeMat-Bulk.

Properties
Size of the total moment: 16.00 μB per cell
Crystal system: monoclinic
ΔE to the lowest computed polymorph: 0.0 kJ per mole of atoms
Electronic total energy: -0.5451 Ry per atom
ρ: 7.467 g/cm³
Uncorrected formation energy: -1.22 eV/atom

Unit cell a=15.988 b=4.265 c=10.939 alpha=90.00 beta=117.32 gamma=90.00
Space group C2/m (No. 12)
Inequivalent atoms, fractional coordinates:
U1 0.115 0.000 0.439 (multiplicity 4)
U2 0.144 0.500 0.825 (multiplicity 4)
Se1 0.052 0.500 0.245 (multiplicity 4)
Se2 0.159 0.000 0.007 (multiplicity 4)
Se3 0.227 0.500 0.622 (multiplicity 4)
S1 0.076 0.000 0.657 (multiplicity 4)

***

(3)
The following is a GGA-PBE calculation of an optimized crystal structure of U2SeS, from Alexandria via LeMat-Bulk.

Properties
Size of the total moment: 14.02 μB per cell
Crystal system: trigonal
ΔE to the lowest computed polymorph: 0.0 kJ per mole of atoms
Electronic total energy: -0.6420 Ry per atom
ρ: 11.153 g/cm³
Uncorrected formation energy: -1.19 eV/atom

Unit cell a=3.8246 b=3.8246 c=20.7011 alpha=90.00 beta=90.00 gamma=120.00
Space group R-3m (No. 166, hexagonal axes)
Inequivalent atoms, fractional coordinates:
U1 0.0000 0.0000 0.2445 (multiplicity 6)
Se1 0.0000 0.0000 0.0000 (multiplicity 3)
S1 0.0000 0.0000 0.5000 (multiplicity 3)

***

(4)
The following is a GGA-PBE calculation of an optimized crystal structure of U4Se6S, from Alexandria via LeMat-Bulk.

Properties
Size of the total moment: 9.67 μB per cell
Crystal system: hexagonal
Electronic total energy: -0.5489 Ry per atom
ρ: 9.368 g/cm³
Uncorrected formation energy: -1.09 eV/atom

Unit cell a=8.8328 b=8.8328 c=3.8250 alpha=90.00 beta=90.00 gamma=120.00
Space group P-6m2 (No. 187)
Inequivalent atoms, fractional coordinates:
U1 0.0000 0.0000 0.0000 (multiplicity 1)
U2 0.9996 0.4998 0.5000 (multiplicity 3)
Se1 0.2076 0.4151 0.0000 (multiplicity 3)
Se2 0.2740 0.1370 0.5000 (multiplicity 3)
S1 0.6667 0.3333 0.0000 (multiplicity 1)

***

(5)
The following is a GGA-PBE calculation of an optimized crystal structure of U3Se2S3, from Alexandria via LeMat-Bulk.

Properties
Size of the total moment: 17.85 μB per cell
Crystal system: orthorhombic
Electronic total energy: -0.5640 Ry per atom
ρ: 9.823 g/cm³
Uncorrected formation energy: -1.02 eV/atom

Unit cell a=3.581 b=4.416 c=20.702 alpha=90.00 beta=90.00 gamma=90.00
Space group Immm (No. 71)
Inequivalent atoms, fractional coordinates:
U1 0.000 0.000 0.000 (multiplicity 2)
U2 0.000 0.500 0.141 (multiplicity 4)
Se1 0.000 0.000 0.248 (multiplicity 4)
S1 0.000 0.000 0.500 (multiplicity 2)
S2 0.000 0.500 0.391 (multiplicity 4)

***

(6)
The following is a GGA-PBE calculation of an optimized crystal structure of U2SeS, from Alexandria via LeMat-Bulk.

Properties
Size of the total moment: 6.80 μB per cell
Crystal system: tetragonal
ΔE to the lowest computed polymorph: 27.7 kJ per mole of atoms
Electronic total energy: -0.6209 Ry per atom
ρ: 11.682 g/cm³
Uncorrected formation energy: -0.90 eV/atom

Unit cell a=3.470 b=3.470 c=6.932 alpha=90.00 beta=90.00 gamma=90.00
Space group P4/mmm (No. 123)
Inequivalent atoms, fractional coordinates:
U1 0.000 0.000 0.238 (multiplicity 2)
Se1 0.500 0.500 0.500 (multiplicity 1)
S1 0.500 0.500 0.000 (multiplicity 1)

***

(7)
The following is a GGA-PBE calculation of an optimized crystal structure of U2Se3S, from Alexandria via LeMat-Bulk.

Properties
Size of the total moment: 15.53 μB per cell
Crystal system: orthorhombic
ΔE to the lowest computed polymorph: 14.6 kJ per mole of atoms
Electronic total energy: -0.5340 Ry per atom
ρ: 8.971 g/cm³
Uncorrected formation energy: -1.07 eV/atom

Unit cell a=8.876 b=9.226 c=6.736 alpha=90.00 beta=90.00 gamma=90.00
Space group Cmcm (No. 63)
Inequivalent atoms, fractional coordinates:
U1 0.241 0.000 0.000 (multiplicity 8)
Se1 0.000 0.422 0.250 (multiplicity 4)
Se2 0.172 0.253 0.750 (multiplicity 8)
S1 0.000 0.063 0.250 (multiplicity 4)

***

(8)
The following is a GGA-PBE calculation of an optimized crystal structure of U4SeS5, from Alexandria via LeMat-Bulk.

Properties
Size of the total moment: 22.07 μB per cell
Crystal system: monoclinic
Electronic total energy: -0.6033 Ry per atom
ρ: 7.585 g/cm³
Uncorrected formation energy: -1.28 eV/atom

Unit cell a=17.202 b=3.986 c=7.927 alpha=90.00 beta=106.31 gamma=90.00
Space group C2/m (No. 12)
Inequivalent atoms, fractional coordinates:
U1 0.001 0.000 0.266 (multiplicity 4)
U2 0.176 0.500 0.108 (multiplicity 4)
Se1 0.000 0.500 0.000 (multiplicity 2)
S1 0.000 0.500 0.500 (multiplicity 2)
S2 0.163 0.000 0.327 (multiplicity 4)
S3 0.164 0.000 0.860 (multiplicity 4)

***

- Number 3 is which compound?
  U2SeS